# RbHgPO2 (PBE-GGA, optimized geometry)
# N(E_F)	3.0	states/eV/f.u.
# energy relative to the lowest polymorph listed for this composition	745	meV/atom
# density	4.27	Mg/m³
# formation energy without anion corrections	1.108	eV/atom
# total moment	2.3	μB per cell
data_RbHgPO2
_space_group_name_H-M_alt 'P 4/m m m'
_space_group_IT_number 123
_space_group_name_Hall '-P 4 2'
_cell_length_a 4.3828
_cell_length_b 4.3828
_cell_length_c 7.0599
_cell_angle_alpha 90.00
_cell_angle_beta 90.00
_cell_angle_gamma 90.00
loop_
_atom_site_label
_atom_site_type_symbol
_atom_site_fract_x
_atom_site_fract_y
_atom_site_fract_z
_atom_site_occupancy
Rb1 Rb 0.0000 0.0000 0.0000 1
Hg1 Hg 0.5000 0.5000 0.5000 1
P1 P 0.0000 0.0000 0.5000 1
O1 O 0.0000 0.5000 0.0000 1

---

# K3MgSc (PBE-GGA, optimized geometry)
# ΔH_f (0 K)	90.9	kJ per mole of atoms
# N(E_F)	12.3	states/eV/f.u.
# density	0.90	Mg/m³
# total moment	3.4	μB per cell
data_K3MgSc
_space_group_name_H-M_alt 'P m -3 m'
_space_group_IT_number 221
_space_group_name_Hall '-P 4 2 3'
_cell_length_a 7.0164
_cell_length_b 7.0164
_cell_length_c 7.0164
_cell_angle_alpha 90.00
_cell_angle_beta 90.00
_cell_angle_gamma 90.00
loop_
_atom_site_label
_atom_site_type_symbol
_atom_site_fract_x
_atom_site_fract_y
_atom_site_fract_z
_atom_site_occupancy
K1 K 0.0000 0.0000 0.5000 1
Mg1 Mg 0.5000 0.5000 0.5000 1
Sc1 Sc 0.0000 0.0000 0.0000 1

---

# Tb2PrNd6Tm (PBE-GGA, optimized geometry)
# ΔH_f (0 K)	10.9	kJ per mole of atoms
# N(E_F)	14.1	states/eV/f.u.
# density	7.19	Mg/m³
# total moment	0.0	μB per cell
data_Tb2PrNd6Tm
_space_group_name_H-M_alt 'C 1 2/c 1'
_space_group_IT_number 15
_cell_length_a 9.3220
_cell_length_b 15.3620
_cell_length_c 9.7089
_cell_angle_alpha 90.00
_cell_angle_beta 97.07
_cell_angle_gamma 90.00
loop_
_space_group_symop_operation_xyz
'x,y,z'
'-x,-y,-z'
'-x,y,-z+1/2'
'x,-y,z+1/2'
'x+1/2,y+1/2,z'
'-x+1/2,-y+1/2,-z'
'-x+1/2,y+1/2,-z+1/2'
'x+1/2,-y+1/2,z+1/2'
loop_
_atom_site_label
_atom_site_type_symbol
_atom_site_fract_x
_atom_site_fract_y
_atom_site_fract_z
_atom_site_occupancy
Tb1 Tb 0.2476 0.0497 0.4531 1
Pr1 Pr 0.0000 0.4742 0.2500 1
Nd1 Nd 0.0618 0.3194 0.9454 1
Nd2 Nd 0.0981 0.1090 0.1175 1
Nd3 Nd 0.2140 0.2778 0.3122 1
Tm1 Tm 0.0000 0.0884 0.7500 1

---

# PmCdSi2 (PBE-GGA, optimized geometry)
# N(E_F)	2.4	states/eV/f.u.
# energy relative to the lowest polymorph listed for this composition	88	meV/atom
# density	6.03	Mg/m³
# formation energy without anion corrections	-0.136	eV/atom
# total moment	0.0	μB per cell
data_PmCdSi2
_space_group_name_H-M_alt 'A m m 2'
_space_group_IT_number 38
_cell_length_a 3.1780
_cell_length_b 6.0246
_cell_length_c 9.0246
_cell_angle_alpha 90.00
_cell_angle_beta 90.00
_cell_angle_gamma 90.00
loop_
_space_group_symop_operation_xyz
'x,y,z'
'-x,-y,z'
'-x,y,z'
'x,-y,z'
'x,y+1/2,z+1/2'
'-x,-y+1/2,z+1/2'
'-x,y+1/2,z+1/2'
'x,-y+1/2,z+1/2'
loop_
_atom_site_label
_atom_site_type_symbol
_atom_site_fract_x
_atom_site_fract_y
_atom_site_fract_z
_atom_site_occupancy
Pm1 Pm 0.0000 0.0000 0.0000 1
Cd1 Cd 0.5000 0.0000 0.5570 1
Si1 Si 0.5000 0.2001 0.2765 1

---

# La4Nd6Er (PBE-GGA, optimized geometry)
# ΔH_f (0 K)	25.2	kJ per mole of atoms
# N(E_F)	17.7	states/eV/f.u.
# energy relative to the lowest polymorph listed for this composition	17	meV/atom
# density	6.54	Mg/m³
# total moment	0.0	μB per cell
data_La4Nd6Er
_space_group_name_H-M_alt 'I -4 2 m'
_space_group_IT_number 121
_space_group_name_Hall 'I -4 2'
_cell_length_a 6.9472
_cell_length_b 6.9472
_cell_length_c 16.7062
_cell_angle_alpha 90.00
_cell_angle_beta 90.00
_cell_angle_gamma 90.00
loop_
_atom_site_label
_atom_site_type_symbol
_atom_site_fract_x
_atom_site_fract_y
_atom_site_fract_z
_atom_site_occupancy
La1 La 0.1877 0.1877 0.1795 1
Nd1 Nd 0.0000 0.5000 0.0000 1
Nd2 Nd 0.1685 0.1685 0.3869 1
Er1 Er 0.0000 0.0000 0.0000 1

---

# Sc3CdPd (PBE-GGA, optimized geometry)
# ΔH_f (0 K)	59.1	kJ per mole of atoms
# N(E_F)	8.3	states/eV/f.u.
# energy relative to the lowest polymorph listed for this composition	698	meV/atom
# density	4.18	Mg/m³
# total moment	0.0	μB per cell
data_Sc3CdPd
_space_group_name_H-M_alt 'P m -3 m'
_space_group_IT_number 221
_space_group_name_Hall '-P 4 2 3'
_cell_length_a 5.1967
_cell_length_b 5.1967
_cell_length_c 5.1967
_cell_angle_alpha 90.00
_cell_angle_beta 90.00
_cell_angle_gamma 90.00
loop_
_atom_site_label
_atom_site_type_symbol
_atom_site_fract_x
_atom_site_fract_y
_atom_site_fract_z
_atom_site_occupancy
Sc1 Sc 0.0000 0.0000 0.5000 1
Cd1 Cd 0.0000 0.0000 0.0000 1
Pd1 Pd 0.5000 0.5000 0.5000 1

---

# CeInPd2 (PBE-GGA, optimized geometry)
# ΔH_f (0 K)	-69.2	kJ per mole of atoms
# N(E_F)	6.3	states/eV/f.u.
# density	9.09	Mg/m³
# total moment	1.5	μB per cell
data_CeInPd2
_space_group_name_H-M_alt 'P 63/m m c'
_space_group_IT_number 194
_space_group_name_Hall '-P 6c 2c'
_cell_length_a 4.6715
_cell_length_b 4.6715
_cell_length_c 9.0463
_cell_angle_alpha 90.00
_cell_angle_beta 90.00
_cell_angle_gamma 120.00
loop_
_atom_site_label
_atom_site_type_symbol
_atom_site_fract_x
_atom_site_fract_y
_atom_site_fract_z
_atom_site_occupancy
Ce1 Ce 0.3333 0.6667 0.2500 1
In1 In 0.0000 0.0000 0.0000 1
Pd1 Pd 0.3333 0.6667 0.5847 1

---

# InAg2I3 (PBE-GGA, optimized geometry)
# N(E_F)	0.0	states/eV/f.u.
# energy relative to the lowest polymorph listed for this composition	0	meV/atom
# density	4.94	Mg/m³
# formation energy without anion corrections	-0.291	eV/atom
# total moment	0.0	μB per cell
data_InAg2I3
_space_group_name_H-M_alt 'P 1 21/m 1'
_space_group_IT_number 11
_cell_length_a 7.7828
_cell_length_b 4.6297
_cell_length_c 13.4562
_cell_angle_alpha 90.00
_cell_angle_beta 99.22
_cell_angle_gamma 90.00
loop_
_space_group_symop_operation_xyz
'x,y,z'
'-x,-y,-z'
'-x,y+1/2,-z'
'x,-y+1/2,z'
loop_
_atom_site_label
_atom_site_type_symbol
_atom_site_fract_x
_atom_site_fract_y
_atom_site_fract_z
_atom_site_occupancy
In1 In 0.1447 0.2500 0.3181 1
Ag1 Ag 0.0301 0.7500 0.0758 1
Ag2 Ag 0.4761 0.2500 0.5788 1
I1 I 0.1713 0.7500 0.8871 1
I2 I 0.2513 0.7500 0.5468 1
I3 I 0.3658 0.7500 0.2123 1

---

# NaCoRu2 (PBE-GGA, optimized geometry)
# ΔH_f (0 K)	87.0	kJ per mole of atoms
# N(E_F)	5.5	states/eV/f.u.
# energy relative to the lowest polymorph listed for this composition	0	meV/atom
# density	8.42	Mg/m³
# total moment	10.9	μB per cell
data_NaCoRu2
_space_group_name_H-M_alt 'F m -3 m'
_space_group_IT_number 225
_space_group_name_Hall '-F 4 2 3'
_cell_length_a 6.0747
_cell_length_b 6.0747
_cell_length_c 6.0747
_cell_angle_alpha 90.00
_cell_angle_beta 90.00
_cell_angle_gamma 90.00
loop_
_atom_site_label
_atom_site_type_symbol
_atom_site_fract_x
_atom_site_fract_y
_atom_site_fract_z
_atom_site_occupancy
Na1 Na 0.0000 0.0000 0.0000 1
Co1 Co 0.0000 0.0000 0.5000 1
Ru1 Ru 0.2500 0.2500 0.2500 1

---

# AsSeO3 (PBE-GGA, optimized geometry)
# N(E_F)	2.5	states/eV/f.u.
# density	5.55	Mg/m³
# formation energy without anion corrections	0.118	eV/atom
# total moment	0.0	μB per cell
data_AsSeO3
_space_group_name_H-M_alt 'P m -3 m'
_space_group_IT_number 221
_space_group_name_Hall '-P 4 2 3'
_cell_length_a 3.9246
_cell_length_b 3.9246
_cell_length_c 3.9246
_cell_angle_alpha 90.00
_cell_angle_beta 90.00
_cell_angle_gamma 90.00
loop_
_atom_site_label
_atom_site_type_symbol
_atom_site_fract_x
_atom_site_fract_y
_atom_site_fract_z
_atom_site_occupancy
As1 As 0.0000 0.0000 0.0000 1
Se1 Se 0.5000 0.5000 0.5000 1
O1 O 0.0000 0.5000 0.5000 1

---

# Tb12PmHo6 (PBE-GGA, optimized geometry)
# ΔH_f (0 K)	20.1	kJ per mole of atoms
# N(E_F)	35.4	states/eV/f.u.
# energy relative to the lowest polymorph listed for this composition	0	meV/atom
# density	8.02	Mg/m³
# total moment	0.0	μB per cell
data_Tb12PmHo6
_space_group_name_H-M_alt 'R -3 m'
_space_group_IT_number 166
_space_group_name_Hall '-R 3 2"'
_cell_length_a 13.1509
_cell_length_b 13.1509
_cell_length_c 12.6211
_cell_angle_alpha 90.00
_cell_angle_beta 90.00
_cell_angle_gamma 120.00
loop_
_atom_site_label
_atom_site_type_symbol
_atom_site_fract_x
_atom_site_fract_y
_atom_site_fract_z
_atom_site_occupancy
Tb1 Tb 0.0000 0.2583 0.0000 1
Tb2 Tb 0.0912 0.1823 0.7652 1
Pm1 Pm 0.0000 0.0000 0.5000 1
Ho1 Ho 0.0384 0.5192 0.1199 1

---

# PuZrMn2 (PBE-GGA, optimized geometry)
# ΔH_f (0 K)	5.1	kJ per mole of atoms
# N(E_F)	5.4	states/eV/f.u.
# energy relative to the lowest polymorph listed for this composition	20	meV/atom
# density	10.57	Mg/m³
# total moment	5.6	μB per cell
data_PuZrMn2
_space_group_name_H-M_alt 'F m -3 m'
_space_group_IT_number 225
_space_group_name_Hall '-F 4 2 3'
_cell_length_a 6.5396
_cell_length_b 6.5396
_cell_length_c 6.5396
_cell_angle_alpha 90.00
_cell_angle_beta 90.00
_cell_angle_gamma 90.00
loop_
_atom_site_label
_atom_site_type_symbol
_atom_site_fract_x
_atom_site_fract_y
_atom_site_fract_z
_atom_site_occupancy
Pu1 Pu 0.0000 0.0000 0.0000 1
Zr1 Zr 0.0000 0.0000 0.5000 1
Mn1 Mn 0.2500 0.2500 0.2500 1

---

Repeat the third record exactly.
# Tb2PrNd6Tm (PBE-GGA, optimized geometry)
# ΔH_f (0 K)	10.9	kJ per mole of atoms
# N(E_F)	14.1	states/eV/f.u.
# density	7.19	Mg/m³
# total moment	0.0	μB per cell
data_Tb2PrNd6Tm
_space_group_name_H-M_alt 'C 1 2/c 1'
_space_group_IT_number 15
_cell_length_a 9.3220
_cell_length_b 15.3620
_cell_length_c 9.7089
_cell_angle_alpha 90.00
_cell_angle_beta 97.07
_cell_angle_gamma 90.00
loop_
_space_group_symop_operation_xyz
'x,y,z'
'-x,-y,-z'
'-x,y,-z+1/2'
'x,-y,z+1/2'
'x+1/2,y+1/2,z'
'-x+1/2,-y+1/2,-z'
'-x+1/2,y+1/2,-z+1/2'
'x+1/2,-y+1/2,z+1/2'
loop_
_atom_site_label
_atom_site_type_symbol
_atom_site_fract_x
_atom_site_fract_y
_atom_site_fract_z
_atom_site_occupancy
Tb1 Tb 0.2476 0.0497 0.4531 1
Pr1 Pr 0.0000 0.4742 0.2500 1
Nd1 Nd 0.0618 0.3194 0.9454 1
Nd2 Nd 0.0981 0.1090 0.1175 1
Nd3 Nd 0.2140 0.2778 0.3122 1
Tm1 Tm 0.0000 0.0884 0.7500 1

---

Repeat the tenth record exactly.
# AsSeO3 (PBE-GGA, optimized geometry)
# N(E_F)	2.5	states/eV/f.u.
# density	5.55	Mg/m³
# formation energy without anion corrections	0.118	eV/atom
# total moment	0.0	μB per cell
data_AsSeO3
_space_group_name_H-M_alt 'P m -3 m'
_space_group_IT_number 221
_space_group_name_Hall '-P 4 2 3'
_cell_length_a 3.9246
_cell_length_b 3.9246
_cell_length_c 3.9246
_cell_angle_alpha 90.00
_cell_angle_beta 90.00
_cell_angle_gamma 90.00
loop_
_atom_site_label
_atom_site_type_symbol
_atom_site_fract_x
_atom_site_fract_y
_atom_site_fract_z
_atom_site_occupancy
As1 As 0.0000 0.0000 0.0000 1
Se1 Se 0.5000 0.5000 0.5000 1
O1 O 0.0000 0.5000 0.5000 1

---

What is the density in the tenth record?
5.55 Mg/m³

---

Which value of total moment does entry 1 give?
2.3 μB per cell